No. 1
Compound: CsV3Sn
Source: Alexandria via LeMat-Bulk
Functional: PBE
Structure: relaxed

abc: 4.7801 4.7801 4.7801
angles: 90.00 90.00 90.00
With the nearest neighbours (Å) after each atom.
Atoms (fractional coordinates):
V 0.0000 0.0000 0.5000  2 Cs 2.39
V 0.0000 0.5000 0.0000  2 Cs 2.39
Sn 0.5000 0.5000 0.5000  12 V 3.38
Cs 0.0000 0.0000 0.0000  6 V 2.39
V 0.5000 0.0000 0.0000  2 Cs 2.39

Results
**Energy relative to the elements**: 2365 meV/atom
**N(E_F)**: 5.82 states/eV per cell
**Space-group type**: Pm-3m, No. 221



No. 2
Compound: RbSnSbTe3
Source: Alexandria via LeMat-Bulk
Functional: PBE
Structure: relaxed

abc: 4.4409 9.5710 12.0384
angles: 110.10 90.00 90.00
With the nearest neighbours (Å) after each atom.
Atoms (fractional coordinates):
Rb 0.7500 0.7714 0.7245  7 Te 3.76-4.07, 1 Sn 3.82
Te 0.7500 0.8786 0.2051  1 Sn 2.90, 2 Sb 3.13
Sn 0.7500 0.8712 0.4435  3 Te 2.90-3.01
Te 0.2500 0.6519 0.4227  2 Sn 3.01, 1 Sb 3.20
Sb 0.7500 0.3657 0.8475  6 Te 2.99-3.20
Rb 0.2500 0.2286 0.2755  7 Te 3.76-4.07, 1 Sn 3.82
Te 0.2500 0.1214 0.7949  1 Sn 2.90, 2 Sb 3.13
Te 0.7500 0.3481 0.5773  2 Sn 3.01, 1 Sb 3.20
Sn 0.2500 0.1288 0.5565  3 Te 2.90-3.01
Te 0.2500 0.6029 0.8970  3 Sb 2.99-3.08
Te 0.7500 0.3971 0.1030  3 Sb 2.99-3.08
Sb 0.2500 0.6343 0.1525  6 Te 2.99-3.20

Results
**Space-group type**: P2_1/m, No. 11



No. 3
Compound: CeHo2ErS6
Source: Alexandria via LeMat-Bulk
Functional: PBE
Structure: relaxed

abc: 6.9551 6.9550 7.3633
angles: 61.82 61.82 60.00
With the nearest neighbours (Å) after each atom.
Atoms (fractional coordinates):
S 0.7202 0.1342 0.7499  2 Ho 2.69-2.77, 1 Er 2.76, 1 Ce 2.81
S 0.6132 0.2233 0.2472  2 Ho 2.71-2.77, 1 Er 2.72, 1 Ce 2.90
S 0.9162 0.6132 0.2472  2 Ho 2.71-2.77, 1 Er 2.72, 1 Ce 2.90
S 0.1342 0.3956 0.7499  2 Ho 2.69-2.77, 1 Er 2.76, 1 Ce 2.81
Ho 0.0140 0.0140 0.9579  6 S 2.69-2.77
Ho 0.5179 0.5179 0.4464  6 S 2.71-2.77
Er 0.3164 0.3164 0.0507  6 S 2.72-2.76
Ce 0.8105 0.8105 0.5686  6 S 2.81-2.90
S 0.3956 0.7202 0.7499  2 Ho 2.69-2.77, 1 Er 2.76, 1 Ce 2.81
S 0.2234 0.9162 0.2472  2 Ho 2.71-2.77, 1 Er 2.72, 1 Ce 2.90

Results
**N(E_F)**: 4.91 states/eV per cell
**Space-group type**: R3, No. 146



No. 4
Compound: Rb2AlPt
Source: Alexandria via LeMat-Bulk
Functional: PBE
Structure: relaxed

abc: 12.7612 12.7612 9.3317
angles: 46.86 46.86 90.00
With the nearest neighbours (Å) after each atom.
Atoms (fractional coordinates):
Al 0.2500 0.7500 0.5000  2 Pt 2.38
Rb 0.3750 0.1958 0.7500  2 Pt 3.37, 2 Al 3.76
Pt 0.7500 0.2500 0.5000  2 Al 2.38
Rb 0.9458 0.6250 0.2500  2 Pt 3.37, 2 Al 3.76
Pt 0.0000 0.0000 0.0000  2 Al 2.38
Rb 0.8042 0.1250 0.2500  2 Pt 3.37, 2 Al 3.76
Rb 0.8750 0.0542 0.7500  2 Pt 3.37, 2 Al 3.76
Al 0.5000 0.5000 0.0000  2 Pt 2.38

Results
**Energy relative to the elements**: -134 meV/atom
**N(E_F)**: 4.38 states/eV per cell
**Space-group type**: I-42d, No. 122



No. 5
Compound: Ho4CdPdRh2
Source: Alexandria via LeMat-Bulk
Functional: PBE
Structure: relaxed

abc: 4.9591 4.9591 8.5874
angles: 73.22 73.22 60.00
With the nearest neighbours (Å) after each atom.
Atoms (fractional coordinates):
Rh 0.7491 0.7491 0.7526  8 Ho 2.96-3.13
Pd 0.5000 0.5000 0.5000  8 Ho 2.92-3.01
Ho 0.8711 0.8711 0.3868  4 Rh 2.96-3.08, 3 Pd 3.01, 1 Cd 3.13
Cd 0.0000 0.0000 0.0000  8 Ho 3.08-3.13
Ho 0.3798 0.3798 0.8607  1 Pd 2.92, 4 Rh 2.99-3.13, 3 Cd 3.08
Rh 0.2509 0.2509 0.2474  8 Ho 2.96-3.13
Ho 0.6202 0.6202 0.1393  1 Pd 2.92, 4 Rh 2.99-3.13, 3 Cd 3.08
Ho 0.1289 0.1289 0.6132  4 Rh 2.96-3.08, 3 Pd 3.01, 1 Cd 3.13

Results
**Energy relative to the elements**: -723 meV/atom
**N(E_F)**: 5.18 states/eV per cell
**Space-group type**: R-3m, No. 166



No. 6
Compound: TcPdI2N
Source: Alexandria via LeMat-Bulk
Functional: PBE
Structure: relaxed

abc: 5.7947 5.7947 3.7329
angles: 90.00 90.00 90.00
With the nearest neighbours (Å) after each atom.
Atoms (fractional coordinates):
Tc 0.5000 0.5000 0.5000  8 I 3.45, 2 Tc 3.73
I 0.0000 0.5000 0.0000  2 Pd 2.90
Pd 0.0000 0.0000 0.0000  2 N 1.87
N 0.0000 0.0000 0.5000  2 Pd 1.87
I 0.5000 0.0000 0.0000  2 Pd 2.90

Results
**Energy above the lowest structure with this stoichiometry**: 702.7 meV per atom
**N(E_F)**: 3.26 states/eV per cell
**Space-group type**: P4/mmm, No. 123



No. 7
Compound: LiSn7
Source: Alexandria via LeMat-Bulk
Functional: PBE
Structure: relaxed

abc: 6.6882 6.6882 6.6882
angles: 60.00 60.00 60.00
With the nearest neighbours (Å) after each atom.
Atoms (fractional coordinates):
Sn 0.0000 0.0000 0.5000  10 Sn 3.34, 2 Li 3.34
Sn 0.5000 0.5000 0.0000  2 Li 3.34, 10 Sn 3.34
Sn 0.5000 0.5000 0.5000  12 Sn 3.34
Li 0.0000 0.0000 0.0000  12 Sn 3.34
Sn 0.5000 0.0000 0.5000  10 Sn 3.34, 2 Li 3.34
Sn 0.5000 0.0000 0.0000  10 Sn 3.34, 2 Li 3.34
Sn 0.0000 0.5000 0.5000  10 Sn 3.34, 2 Li 3.34
Sn 0.0000 0.5000 0.0000  10 Sn 3.34, 2 Li 3.34

Results
**Energy relative to the elements**: -33 meV/atom
**N(E_F)**: 2.82 states/eV per cell
**Space-group type**: Fm-3m, No. 225



No. 8
Compound: CrTc2Br
Source: Alexandria via LeMat-Bulk
Functional: PBE
Structure: relaxed

abc: 5.1921 5.1921 5.1921
angles: 137.90 137.90 61.06
With the nearest neighbours (Å) after each atom.
Atoms (fractional coordinates):
Tc 0.5000 0.5000 0.0000  4 Tc 2.64, 4 Cr 2.91, 4 Br 2.91
Br 0.2500 0.7500 0.5000  4 Cr 2.64, 8 Tc 2.91
Cr 0.7500 0.2500 0.5000  4 Br 2.64, 8 Tc 2.91
Tc 0.0000 0.0000 0.0000  4 Tc 2.64, 4 Cr 2.91, 4 Br 2.91

Results
**Energy above the lowest structure with this stoichiometry**: 505.0 meV per atom
**N(E_F)**: 4.59 states/eV per cell
**Space-group type**: I4/mmm, No. 139



No. 9
Compound: Ac8InBi3Te4
Source: Alexandria via LeMat-Bulk
Functional: PBE
Structure: relaxed

abc: 9.6658 9.5984 9.6657
angles: 120.23 120.00 90.00
With the nearest neighbours (Å) after each atom.
Atoms (fractional coordinates):
Bi 0.5000 0.5000 0.0000  6 Ac 3.39-3.40
Te 0.5000 0.0000 0.0000  6 Ac 3.48
Ac 0.2513 0.2540 0.5027  3 Bi 3.39, 3 Te 3.42
Te 0.0000 0.0000 0.5000  6 Ac 3.42
Ac 0.7537 0.7429 0.9984  1 In 3.33, 2 Bi 3.40, 3 Te 3.42-3.48
Ac 0.2446 0.7429 0.9984  1 In 3.33, 2 Bi 3.40, 3 Te 3.42-3.48
Te 0.0000 0.0000 0.0000  6 Ac 3.42
Te 0.5000 0.0000 0.5000  6 Ac 3.42
Ac 0.2447 0.7430 0.4893  1 In 3.33, 2 Bi 3.40, 3 Te 3.42-3.48
Ac 0.7487 0.7460 0.4973  3 Bi 3.39, 3 Te 3.42
Ac 0.2463 0.2571 0.0016  1 In 3.33, 2 Bi 3.40, 3 Te 3.42-3.48
Ac 0.7554 0.2571 0.0016  1 In 3.33, 2 Bi 3.40, 3 Te 3.42-3.48
Ac 0.7553 0.2570 0.5107  1 In 3.33, 2 Bi 3.40, 3 Te 3.42-3.48
In 0.0000 0.5000 0.0000  6 Ac 3.33
Bi 0.0000 0.5000 0.5000  6 Ac 3.39-3.40
Bi 0.5000 0.5000 0.5000  6 Ac 3.39-3.40

Results
**N(E_F)**: 4.27 states/eV per cell
**Space-group type**: R-3m, No. 166



No. 10
Compound: CsTl6Se4
Source: Alexandria via LeMat-Bulk
Functional: PBE
Structure: relaxed

abc: 4.7688 9.3964 9.3964
angles: 120.00 90.00 90.00
With the nearest neighbours (Å) after each atom.
Atoms (fractional coordinates):
Tl 0.5000 0.1982 0.3965  4 Se 3.04-3.24
Tl 0.0000 0.9138 0.4569  5 Se 3.36-3.41, 2 Tl 3.48
Tl 0.5000 0.6035 0.8018  4 Se 3.04-3.24
Tl 0.5000 0.1982 0.8018  4 Se 3.04-3.24
Tl 0.0000 0.5431 0.0862  5 Se 3.36-3.41, 2 Tl 3.48
Se 0.5000 0.8276 0.6552  6 Tl 3.04-3.36
Tl 0.0000 0.5431 0.4569  5 Se 3.36-3.41, 2 Tl 3.48
Se 0.5000 0.3448 0.1724  6 Tl 3.04-3.36
Cs 0.0000 0.0000 0.0000  6 Se 3.68, 6 Tl 4.01
Se 0.0000 0.3333 0.6667  9 Tl 3.24-3.41
Se 0.5000 0.8276 0.1724  6 Tl 3.04-3.36

Results
**Energy above the lowest structure with this stoichiometry**: 0.0 meV per atom
**N(E_F)**: 3.97 states/eV per cell
**Space-group type**: P-6m2, No. 187



No. 11
Compound: Th4Ni2Ag
Source: Alexandria via LeMat-Bulk
Functional: PBE
Structure: relaxed

abc: 4.1879 4.1879 12.5679
angles: 80.41 80.41 60.00
With the nearest neighbours (Å) after each atom.
Atoms (fractional coordinates):
Ni 0.5962 0.5962 0.2115  6 Th 2.77-2.84
Ni 0.4038 0.4038 0.7885  6 Th 2.77-2.84
Th 0.8894 0.8894 0.3318  3 Ni 2.84
Th 0.7004 0.7004 0.8987  3 Ni 2.77
Ag 0.5000 0.5000 0.5000  6 Th 3.19, 2 Ni 3.56
Th 0.1106 0.1106 0.6682  3 Ni 2.84
Th 0.2996 0.2996 0.1013  3 Ni 2.77

Results
**Energy relative to the elements**: -92 meV/atom
**N(E_F)**: 8.39 states/eV per cell
**Space-group type**: R-3m, No. 166



No. 12
Compound: La3Pr3Th
Source: Alexandria via LeMat-Bulk
Functional: PBE
Structure: relaxed

abc: 3.6622 11.6906 16.6697
angles: 133.76 90.00 90.00
With the nearest neighbours (Å) after each atom.
Atoms (fractional coordinates):
Pr 0.7500 0.1059 0.8484  4 Pr 3.66-3.81, 7 La 3.87-4.08, 1 Th 3.88
Pr 0.7500 0.5631 0.3138  4 La 3.31-3.61, 2 Th 3.51, 4 Pr 3.60-3.66
Th 0.2500 0.8691 0.3718  5 Pr 3.46-3.65, 4 Th 3.59-3.66, 2 La 3.65
Pr 0.2500 0.4369 0.6862  4 La 3.31-3.61, 2 Th 3.51, 4 Pr 3.60-3.66
La 0.2500 0.3525 0.3648  5 Pr 3.50-3.87, 6 La 3.66-3.75
Pr 0.7500 0.1695 0.4290  3 Th 3.46-3.65, 2 La 3.50, 6 Pr 3.60-3.81
Pr 0.2500 0.8305 0.5710  3 Th 3.46-3.65, 2 La 3.50, 6 Pr 3.60-3.81
La 0.2500 0.8402 0.8922  1 Pr 3.41, 6 La 3.41-3.66
La 0.7500 0.6475 0.6352  5 Pr 3.50-3.87, 6 La 3.66-3.75
Th 0.7500 0.1309 0.6282  5 Pr 3.46-3.65, 4 Th 3.59-3.66, 2 La 3.65
La 0.7500 0.1598 0.1078  1 Pr 3.41, 6 La 3.41-3.66
Pr 0.2500 0.8941 0.1516  4 Pr 3.66-3.81, 7 La 3.87-4.08, 1 Th 3.88
La 0.7500 0.5622 0.1146  1 Pr 3.31, 4 La 3.52-3.66, 2 Th 3.65
La 0.2500 0.4378 0.8854  1 Pr 3.31, 4 La 3.52-3.66, 2 Th 3.65

Results
**Energy relative to the elements**: 127 meV/atom
**N(E_F)**: 18.59 states/eV per cell
**Space-group type**: P2_1/m, No. 11



Record order is preserved below.
Final energy: -4.078, -3.527, -6.463, -3.064, -5.614, -4.164, -3.775, -7.035, -4.925, -3.053, -6.391, -5.093 eV per atom